## Rb3Ca5Cl12 (PBE)

Data for Rb3Ca5Cl12 after structural relaxation.

It has space group Ia-3d (No. 230), with a = 17.797 Å, b = 17.797 Å, c = 17.797 Å, α = 90.00°, β = 90.00° and γ = 90.00°. The distinct sites, in fractional coordinates, are Rb at (0.000, 0.250, 0.125), Ca at (0.000, 0.000, 0.000), Ca at (0.000, 0.250, 0.375) and Cl at (0.029, 0.049, 0.647).

For the total energy, the calculation gives -3.89 eV/atom. The magnetic moment is 0.0 μB per formula unit. The crystal system is cubic. Its raw formation energy is -2.1332 eV/atom.

***

## YIn3Cu8 (PBE)

Data for YIn3Cu8 after structural relaxation.

It has space group P3m1 (No. 156), with a = 5.0772 Å, b = 5.0772 Å, c = 8.4496 Å, α = 90.00°, β = 90.00° and γ = 120.00°. The distinct sites, in fractional coordinates, are Y at (0.0000, 0.0000, 0.0000), In at (0.0000, 0.0000, 0.3735), In at (0.6667, 0.3333, 0.4940), In at (0.6667, 0.3333, 0.8641), Cu at (0.1653, 0.3307, 0.6790), Cu at (0.3333, 0.6667, 0.4329), Cu at (0.3333, 0.6667, 0.9266) and Cu at (0.5006, 0.0012, 0.1866).

For the total energy, the calculation gives -4.08 eV/atom. The magnetic moment is 0.0 μB per formula unit. As for the formation energy: -0.121 eV/atom. The crystal system is trigonal. The energy above the most stable polymorph in this dataset comes out at 22.6 meV/atom.

***

## Mn2NiAg (PBE)

Data for Mn2NiAg after structural relaxation.

It has space group I-42d (No. 122), with a = 3.576 Å, b = 3.576 Å, c = 17.563 Å, α = 90.00°, β = 90.00° and γ = 90.00°. The distinct sites, in fractional coordinates, are Mn at (0.180, 0.250, 0.125), Ni at (0.000, 0.000, 0.000) and Ag at (0.000, 0.000, 0.500).

For the total energy, the calculation gives -5.95 eV/atom. The magnetic moment is 2.9 μB per formula unit. As for the formation energy: 0.795 eV/atom. The crystal system is tetragonal. The energy above the most stable polymorph in this dataset comes out at 646.6 meV/atom.

***

The highest magnetic moment belongs to which entry?
Mn2NiAg

***

What is the formula in the second record?
YIn3Cu8

***

What is the total energy in the third record?
-5.95 eV/atom

***

Among the records above, which one has the highest magnetic moment?
Mn2NiAg